No. 1
Entry from Alexandria: a relaxed structure of LiH3Pt (PBE).

Lattice parameters (Å, degrees): 5.219 5.458 6.639 90.00 90.00 90.00
Sites, in units of the cell vectors:
H  0.351  0.250  0.800
H  0.380  0.064  0.392
H  0.880  0.436  0.108
H  0.880  0.064  0.108
H  0.120  0.564  0.892
H  0.380  0.436  0.392
H  0.851  0.250  0.700
H  0.620  0.936  0.608
H  0.620  0.564  0.608
H  0.649  0.750  0.200
H  0.120  0.936  0.892
H  0.149  0.750  0.300
Pt  0.435  0.750  0.430
Pt  0.565  0.250  0.570
Pt  0.065  0.250  0.930
Pt  0.935  0.750  0.070
Li  0.500  0.000  0.000
Li  0.000  0.500  0.500
Li  0.000  0.000  0.500
Li  0.500  0.500  0.000

Crystal system = orthorhombic
D(E_F) = 0.000 states/eV per atom
Space group = Pnma

***

No. 2
Entry from Alexandria: a relaxed structure of TaAgI2 (PBE).

Lattice parameters (Å, degrees): 9.963 9.963 7.575 48.88 48.88 90.00
Last column: magnetic moment on the atom in μB.
Sites, in units of the cell vectors:
I  0.978  0.625  0.250  -0.02
I  0.875  0.022  0.750  -0.02
I  0.772  0.125  0.250  -0.02
I  0.375  0.228  0.750  -0.02
Ta  0.000  0.000  0.000  1.19
Ta  0.750  0.250  0.500  1.18
Ag  0.500  0.500  0.000  0.03
Ag  0.250  0.750  0.500  0.03

Crystal system = tetragonal
Polymorph energy (0 for the lowest one) = 0 meV/atom
D(E_F) = 0.492 states/eV per atom
Space group = I-42d

***

No. 3
Entry from Alexandria: a relaxed structure of TaCu2Ir (PBE).

Lattice parameters (Å, degrees): 9.091 9.091 9.091 17.29 17.29 17.29
Last column: magnetic moment on the atom in μB.
Sites, in units of the cell vectors:
Cu  0.997  0.997  0.997  0.01
Cu  0.503  0.503  0.503  0.01
Ta  0.750  0.750  0.750  0.00
Ir  0.250  0.250  0.250  0.18

Crystal system = trigonal
Polymorph energy (0 for the lowest one) = 371 meV/atom
DFT formation energy = 0.172 eV per atom
D(E_F) = 1.196 states/eV per atom
Space group = R-3m

***

No. 4
Entry from Alexandria: a relaxed structure of NdSc2Tl3S6 (PBE).

Lattice parameters (Å, degrees): 6.815 6.815 7.821 98.36 98.36 119.88
Sites, in units of the cell vectors:
Tl  0.500  0.500  0.500
Tl  0.837  0.163  0.500
Tl  0.163  0.837  0.500
Nd  0.000  0.000  0.000
S  0.579  0.935  0.805
S  0.421  0.065  0.195
S  0.065  0.421  0.195
S  0.708  0.708  0.190
S  0.935  0.579  0.805
S  0.292  0.292  0.810
Sc  0.334  0.666  0.000
Sc  0.666  0.334  0.000

Crystal system = monoclinic
Space group = C2/m

***

No. 5
Entry from Alexandria: a relaxed structure of BaZnSe2O6 (PBE).

Lattice parameters (Å, degrees): 5.555 5.555 6.822 65.98 65.98 60.00
Sites, in units of the cell vectors:
Se  0.732  0.732  0.805
Se  0.268  0.268  0.195
O  0.920  0.499  0.296
O  0.501  0.716  0.704
O  0.284  0.920  0.296
O  0.716  0.080  0.704
O  0.080  0.501  0.704
O  0.499  0.284  0.296
Zn  0.500  0.500  0.500
Ba  0.000  0.000  0.000

Crystal system = trigonal
Polymorph energy (0 for the lowest one) = 217 meV/atom
D(E_F) = 0.000 states/eV per atom
Space group = R-3

***

No. 6
Entry from Alexandria: a relaxed structure of CrHgPCl2 (PBE).

Lattice parameters (Å, degrees): 4.997 6.186 4.997 90.00 90.00 90.00
Last column: magnetic moment on the atom in μB.
Sites, in units of the cell vectors:
P  0.500  0.500  0.500  -0.92
Cl  0.000  0.000  0.500  0.00
Cl  0.500  0.000  0.000  0.01
Hg  0.000  0.000  0.000  0.04
Cr  0.000  0.500  0.000  4.23

Crystal system = tetragonal
Polymorph energy (0 for the lowest one) = 973 meV/atom
D(E_F) = 0.439 states/eV per atom
Space group = P4/mmm

***

No. 7
Entry from Alexandria: a relaxed structure of Co5Ni4Pd (PBE).

Lattice parameters (Å, degrees): 4.757 4.557 6.817 83.36 71.46 57.35
Last column: magnetic moment on the atom in μB.
Sites, in units of the cell vectors:
Ni  0.756  0.677  0.743  0.70
Ni  0.398  0.320  0.732  0.69
Ni  0.904  0.303  0.452  0.73
Ni  0.252  0.615  0.407  0.70
Co  0.387  0.038  0.136  1.66
Co  0.861  0.054  0.185  1.65
Co  0.532  0.928  0.455  1.82
Co  0.922  0.536  0.068  1.69
Co  0.434  0.530  0.029  1.68
Pd  0.043  0.999  0.793  0.24

Crystal system = triclinic
DFT formation energy = 0.138 eV per atom
D(E_F) = 1.062 states/eV per atom
Space group = P1

***

No. 8
Entry from Alexandria: a relaxed structure of K2SbPt (PBE).

Lattice parameters (Å, degrees): 6.782 6.095 3.358 90.00 60.32 114.83
Sites, in units of the cell vectors:
K  0.500  0.000  0.500
K  0.000  0.000  0.000
Sb  0.500  0.500  0.000
Pt  0.000  0.500  0.500

Crystal system = orthorhombic
D(E_F) = 0.436 states/eV per atom
Space group = Cmmm

***

Number 1: total moment 0.00 μB/atom, raw total energy -3.820 eV/atom. Number 2: total moment 0.45 μB/atom, raw total energy -3.951 eV/atom. Number 3: total moment 0.05 μB/atom, raw total energy -7.054 eV/atom. Number 4: total moment 0.00 μB/atom, raw total energy -5.491 eV/atom. Number 5: total moment 0.00 μB/atom, raw total energy -5.264 eV/atom. Number 6: total moment 0.55 μB/atom, raw total energy -2.957 eV/atom. Number 7: total moment 1.13 μB/atom, raw total energy -6.247 eV/atom. Number 8: total moment 0.00 μB/atom, raw total energy -3.128 eV/atom.